! PBEsol LaY2Au2, relaxed; values from VASP
! Mass density ... 9.37 g cm⁻³
! Fermi-level density of states ... 5.3 states/eV/f.u.
! SG ... P4/mbm, No. 127
! Formation energy from the elements ... -673 meV/atom
&SYSTEM
  ibrav = 0, nat = 10, ntyp = 3
/
ATOMIC_SPECIES
Y 88.91 Y.upf
Au 196.97 Au.upf
La 138.91 La.upf
ATOMIC_POSITIONS crystal
Y 0.5000 0.1618 0.6618
Y 0.5000 0.6618 0.8382
Y 0.5000 0.8382 0.3382
Y 0.5000 0.3382 0.1618
Au 0.0000 0.3720 0.8720
Au 0.0000 0.8720 0.6280
Au 0.0000 0.6280 0.1280
Au 0.0000 0.1280 0.3720
La 0.0000 0.0000 0.0000
La 0.0000 0.5000 0.5000
CELL_PARAMETERS angstrom
-2.6507 -2.5012 -1.0501
3.6224 -0.7915 -7.2584
4.5676 -6.0757 2.9420